# PBE BaCuSe2O6, relaxed
data_BaCuSe2O6
_chemical_formula_sum 'Ba4 Cu4 Se8 O24'
_space_group_name_H-M_alt 'P 1'
_space_group_IT_number 1
_space_group_name_Hall 'P 1'
_cell_length_a 5.462
_cell_length_b 13.402
_cell_length_c 9.030
_cell_angle_alpha 90.00
_cell_angle_beta 90.63
_cell_angle_gamma 90.00
loop_
_atom_site_label
_atom_site_fract_x
_atom_site_fract_y
_atom_site_fract_z
Ba1 0.222 0.201 0.192
Ba2 0.222 0.299 0.692
Ba3 0.778 0.701 0.308
Ba4 0.778 0.799 0.808
Cu1 0.233 0.633 0.599
Cu2 0.233 0.867 0.099
Cu3 0.767 0.133 0.901
Cu4 0.767 0.367 0.401
Se1 0.276 0.639 0.963
Se2 0.276 0.861 0.463
Se3 0.307 0.009 0.790
Se4 0.307 0.491 0.290
Se5 0.693 0.509 0.710
Se6 0.693 0.991 0.210
Se7 0.724 0.139 0.537
Se8 0.724 0.361 0.037
O1 0.092 0.729 0.048
O2 0.092 0.771 0.548
O3 0.200 0.592 0.393
O4 0.200 0.908 0.893
O5 0.216 0.117 0.873
O6 0.216 0.383 0.373
O7 0.290 0.697 0.790
O8 0.290 0.803 0.290
O9 0.377 0.505 0.672
O10 0.377 0.995 0.172
O11 0.436 0.163 0.472
O12 0.436 0.337 0.972
O13 0.564 0.663 0.028
O14 0.564 0.837 0.528
O15 0.623 0.005 0.828
O16 0.623 0.495 0.328
O17 0.710 0.197 0.710
O18 0.710 0.303 0.210
O19 0.784 0.617 0.627
O20 0.784 0.883 0.127
O21 0.800 0.092 0.107
O22 0.800 0.408 0.607
O23 0.908 0.229 0.452
O24 0.908 0.271 0.952
# * formation energy (no corrections): -1.29 eV/atom
# * VASP energy: -55.61 eV/f.u.
# * space group: P2_1/c, No. 14